A plane-wave DFT calculation with GGA-PBE was carried out for a geometry-optimized ThPH2Ru2 structure.

Lattice parameters (Å, degrees): 5.2339 5.7061 5.5230 90.00 91.50 90.00
Last column: nearest neighbours and their distance in Å.
Element x y z (fractional)
Th (0.2427, 0.2500, 0.1366)  2 H 2.47-2.52
Th (0.7573, 0.7500, 0.8634)  2 H 2.47-2.52
P (0.0786, 0.7500, 0.3201)  4 Ru 2.32-2.37, 1 H 2.50
P (0.9214, 0.2500, 0.6799)  4 Ru 2.32-2.37, 1 H 2.50
H (0.2863, 0.7500, 0.8269)  2 Ru 1.81
H (0.4474, 0.2500, 0.7287)  2 Ru 1.82
H (0.5526, 0.7500, 0.2713)  2 Ru 1.82
H (0.7137, 0.2500, 0.1731)  2 Ru 1.81
Ru (0.2627, 0.5018, 0.6225)  2 H 1.81-1.82
Ru (0.2627, 0.9982, 0.6225)  2 H 1.81-1.82
Ru (0.7373, 0.0018, 0.3775)  2 H 1.81-1.82
Ru (0.7373, 0.4982, 0.3775)  2 H 1.81-1.82

Results
- Space-group type: P2_1/m
- Total moment: 0.000 μB per atom
- VASP energy: -6.806 eV per atom

A plane-wave DFT calculation with GGA-PBE was carried out for a geometry-optimized KMn3As3 structure.

Lattice parameters (Å, degrees): 9.1152 9.1152 9.1152 44.02 44.02 44.02
Last column: nearest neighbours and their distance in Å.
Element x y z (fractional)
K (0.1659, 0.1659, 0.1659)  6 As 3.39-3.41
K (0.8341, 0.8341, 0.8341)  6 As 3.39-3.41
Mn (0.0302, 0.3583, 0.7115)  4 As 2.41-2.44
Mn (0.2885, 0.9698, 0.6417)  4 As 2.41-2.44
Mn (0.3583, 0.7115, 0.0302)  4 As 2.41-2.44
Mn (0.6417, 0.2885, 0.9698)  4 As 2.41-2.44
Mn (0.7115, 0.0302, 0.3583)  4 As 2.41-2.44
Mn (0.9698, 0.6417, 0.2885)  4 As 2.41-2.44
As (0.0711, 0.7194, 0.4064)  4 Mn 2.41-2.44
As (0.2806, 0.5936, 0.9289)  4 Mn 2.41-2.44
As (0.4064, 0.0711, 0.7194)  4 Mn 2.41-2.44
As (0.5936, 0.9289, 0.2806)  4 Mn 2.41-2.44
As (0.7194, 0.4064, 0.0711)  4 Mn 2.41-2.44
As (0.9289, 0.2806, 0.5936)  4 Mn 2.41-2.44

Results
- Space-group type: R-3
- Total moment: 1.156 μB per atom
- Formation energy from the elements: -0.15 eV per atom

A plane-wave DFT calculation with GGA-PBE was carried out for a geometry-optimized RbMnCl4 structure.

Lattice parameters (Å, degrees): 6.8424 6.8424 8.7629 90.00 90.00 90.00
Last column: nearest neighbours and their distance in Å.
Element x y z (fractional)
Rb (0.2500, 0.7500, 0.2500)  4 Cl 3.46
Rb (0.7500, 0.2500, 0.7500)  4 Cl 3.46
Mn (0.2500, 0.7500, 0.7500)  4 Cl 2.22
Mn (0.7500, 0.2500, 0.2500)  4 Cl 2.22
Cl (0.0039, 0.2500, 0.0920)  1 Mn 2.22
Cl (0.2500, 0.0039, 0.5920)  1 Mn 2.22
Cl (0.2500, 0.4961, 0.5920)  1 Mn 2.22
Cl (0.4961, 0.2500, 0.0920)  1 Mn 2.22
Cl (0.5039, 0.7500, 0.9080)  1 Mn 2.22
Cl (0.7500, 0.5039, 0.4080)  1 Mn 2.22
Cl (0.7500, 0.9961, 0.4080)  1 Mn 2.22
Cl (0.9961, 0.7500, 0.9080)  1 Mn 2.22

Results
- Space-group type: P4_2/nmc
- Total moment: 0.667 μB per atom
- E_form (uncorrected): -1.2658 eV/atom
- Relative energy among the computed polymorphs: 0.000 eV/atom

A plane-wave DFT calculation with GGA-PBE was carried out for a geometry-optimized Ac2Nd3Cd2 structure.

Lattice parameters (Å, degrees): 16.7863 16.7863 3.8133 90.00 90.00 166.85
Last column: nearest neighbours and their distance in Å.
Element x y z (fractional)
Ac (0.1980, 0.8020, 0.0000)  4 Cd 3.52, 4 Ac 3.81-3.85
Ac (0.8020, 0.1980, 0.0000)  4 Cd 3.52, 4 Ac 3.81-3.85
Nd (0.0735, 0.9265, 0.0000)  4 Cd 3.31, 4 Nd 3.65
Nd (0.5000, 0.5000, 0.5000)  12 Nd 3.65-3.85
Nd (0.9265, 0.0735, 0.0000)  4 Cd 3.31, 4 Nd 3.65
Cd (0.3692, 0.6308, 0.5000)  4 Nd 3.31, 4 Ac 3.52
Cd (0.6308, 0.3692, 0.5000)  4 Nd 3.31, 4 Ac 3.52

Results
- Space-group type: Cmmm
- Total moment: 0.050 μB per atom
- Relative energy among the computed polymorphs: 0.027 eV/atom
- Formation energy from the elements: -0.10 eV per atom

A plane-wave DFT calculation with GGA-PBE was carried out for a geometry-optimized Tm3RuSe structure.

Lattice parameters (Å, degrees): 7.6587 7.6587 9.8468 117.20 117.20 30.09
Last column: nearest neighbours and their distance in Å.
Element x y z (fractional)
Tm (0.0753, 0.0753, 0.3012)  2 Ru 2.69, 1 Se 2.85
Tm (0.3388, 0.3388, 0.3605)  3 Ru 2.79-2.98, 2 Se 2.99
Tm (0.3586, 0.3586, 0.9410)  1 Ru 2.84, 3 Se 2.86-2.88
Tm (0.6414, 0.6414, 0.0590)  1 Ru 2.84, 3 Se 2.86-2.88
Tm (0.6612, 0.6612, 0.6395)  3 Ru 2.79-2.98, 2 Se 2.99
Tm (0.9247, 0.9247, 0.6988)  2 Ru 2.69, 1 Se 2.85
Ru (0.2863, 0.2863, 0.6178)  6 Tm 2.69-2.98, 2 Ru 2.85
Ru (0.7137, 0.7137, 0.3822)  6 Tm 2.69-2.98, 2 Ru 2.85
Se (0.1432, 0.1432, 0.8519)  6 Tm 2.85-2.99
Se (0.8568, 0.8568, 0.1481)  6 Tm 2.85-2.99

Results
- Space-group type: C2/m
- Total moment: 0.000 μB per atom
- E_form (uncorrected): -0.8111 eV/atom

A plane-wave DFT calculation with GGA-PBE was carried out for a geometry-optimized Ce2ScOs structure.

Lattice parameters (Å, degrees): 5.6223 5.6223 9.7272 90.00 90.00 141.40
Last column: nearest neighbours and their distance in Å.
Element x y z (fractional)
Ce (0.1336, 0.8664, 0.5603)  2 Os 2.76, 1 Ce 3.07
Ce (0.1336, 0.8664, 0.9397)  2 Os 2.76, 1 Ce 3.07
Ce (0.8664, 0.1336, 0.0603)  2 Os 2.76, 1 Ce 3.07
Ce (0.8664, 0.1336, 0.4397)  2 Os 2.76, 1 Ce 3.07
Sc (0.4186, 0.5814, 0.7500)  3 Os 2.83-3.17
Sc (0.5814, 0.4186, 0.2500)  3 Os 2.83-3.17
Os (0.2827, 0.7173, 0.2500)  4 Ce 2.76, 2 Sc 2.83
Os (0.7173, 0.2827, 0.7500)  4 Ce 2.76, 2 Sc 2.83

Results
- Space-group type: Cmcm
- Total moment: 0.000 μB per atom
- Relative energy among the computed polymorphs: 0.000 eV/atom
- Formation energy from the elements: -0.13 eV per atom

A plane-wave DFT calculation with GGA-PBE was carried out for a geometry-optimized Tc4Ni3 structure.

Lattice parameters (Å, degrees): 4.6596 4.6596 4.8202 90.00 90.00 120.00
Last column: nearest neighbours and their distance in Å.
Element x y z (fractional)
Tc (0.0000, 0.0000, 0.2443)  2 Tc 2.36-2.46, 6 Ni 2.64
Tc (0.0000, 0.0000, 0.7557)  2 Tc 2.36-2.46, 6 Ni 2.64
Tc (0.3333, 0.6667, 0.0000)  9 Tc 2.69-2.94, 6 Ni 2.76
Tc (0.6667, 0.3333, 0.0000)  9 Tc 2.69-2.94, 6 Ni 2.76
Ni (0.0000, 0.5000, 0.5000)  4 Ni 2.33
Ni (0.5000, 0.0000, 0.5000)  4 Ni 2.33
Ni (0.5000, 0.5000, 0.5000)  4 Ni 2.33

Results
- Space-group type: P6/mmm
- Total moment: 0.158 μB per atom
- Relative energy among the computed polymorphs: 0.000 eV/atom
- Formation energy from the elements: 0.07 eV per atom

A plane-wave DFT calculation with GGA-PBE was carried out for a geometry-optimized Pm4Nd7Er structure.

Lattice parameters (Å, degrees): 8.7642 8.7642 9.4206 114.26 114.26 40.60
Last column: nearest neighbours and their distance in Å.
Element x y z (fractional)
Pm (0.0737, 0.0737, 0.1997)  4 Nd 3.34-3.69, 1 Pm 3.47
Pm (0.1735, 0.1735, 0.8889)  7 Nd 3.30-3.63
Pm (0.8265, 0.8265, 0.1111)  7 Nd 3.30-3.63
Pm (0.9263, 0.9263, 0.8003)  4 Nd 3.34-3.69, 1 Pm 3.47
Nd (0.0000, 0.0000, 0.5000)  2 Er 3.04
Nd (0.2924, 0.2924, 0.2763)  1 Er 3.13, 2 Nd 3.29-3.46, 2 Pm 3.30-3.34
Nd (0.2921, 0.2921, 0.6247)  3 Nd 3.29-3.63
Nd (0.4189, 0.4189, 0.0640)  3 Nd 3.37-3.73, 3 Pm 3.51-3.63, 1 Er 3.72
Nd (0.5811, 0.5811, 0.9360)  3 Nd 3.37-3.73, 3 Pm 3.51-3.63, 1 Er 3.72
Nd (0.7079, 0.7079, 0.3753)  3 Nd 3.29-3.63
Nd (0.7076, 0.7076, 0.7237)  1 Er 3.13, 2 Nd 3.29-3.46, 2 Pm 3.30-3.34
Er (0.5000, 0.5000, 0.5000)  4 Nd 3.04-3.13

Results
- Space-group type: C2/m
- Total moment: 0.037 μB per atom
- Relative energy among the computed polymorphs: 0.201 eV/atom
- Formation energy from the elements: 0.21 eV per atom

A plane-wave DFT calculation with GGA-PBE was carried out for a geometry-optimized Y5Ag structure.

Lattice parameters (Å, degrees): 6.4059 6.4059 8.4952 110.88 110.88 33.62
Last column: nearest neighbours and their distance in Å.
Element x y z (fractional)
Y (0.0000, 0.0000, 0.0000)  2 Ag 3.23, 3 Y 3.55-3.61
Y (0.0287, 0.0287, 0.4433)  2 Ag 3.07, 2 Y 3.38
Y (0.3121, 0.3121, 0.1626)  2 Ag 3.07, 2 Y 3.38
Y (0.3410, 0.3410, 0.6063)  2 Ag 3.23, 3 Y 3.56-3.61
Y (0.6704, 0.6704, 0.8029)  12 Y 3.44-3.76
Ag (0.6707, 0.6707, 0.3036)  8 Y 3.07-3.23

Results
- Space-group type: Cm
- Total moment: 0.000 μB per atom
- Relative energy among the computed polymorphs: 0.005 eV/atom
- Formation energy from the elements: -0.08 eV per atom

A plane-wave DFT calculation with GGA-PBE was carried out for a geometry-optimized LiNd3Dy2Te6 structure.

Lattice parameters (Å, degrees): 9.8837 9.8837 8.8460 103.39 103.39 25.75
Last column: nearest neighbours and their distance in Å.
Element x y z (fractional)
Li (0.0000, 0.0000, 0.0000)  6 Te 3.01-3.03
Nd (0.0000, 0.0000, 0.5000)  6 Te 3.16-3.22
Nd (0.3330, 0.3330, 0.1696)  6 Te 3.15-3.23
Nd (0.6670, 0.6670, 0.8304)  6 Te 3.15-3.23
Dy (0.3335, 0.3335, 0.6638)  6 Te 3.06-3.10
Dy (0.6665, 0.6665, 0.3362)  6 Te 3.06-3.10
Te (0.1606, 0.1606, 0.0874)  1 Li 3.01, 2 Dy 3.10, 3 Nd 3.19-3.23
Te (0.1687, 0.1687, 0.5774)  3 Dy 3.06-3.08, 3 Nd 3.15-3.16
Te (0.4974, 0.4974, 0.7641)  2 Li 3.03, 1 Dy 3.07, 3 Nd 3.18-3.22
Te (0.5026, 0.5026, 0.2359)  2 Li 3.03, 1 Dy 3.07, 3 Nd 3.18-3.22
Te (0.8313, 0.8313, 0.4226)  3 Dy 3.06-3.08, 3 Nd 3.15-3.16
Te (0.8394, 0.8394, 0.9126)  1 Li 3.01, 2 Dy 3.10, 3 Nd 3.19-3.23

Results
- Space-group type: C2/m
- Total moment: 0.000 μB per atom
- E_form (uncorrected): -1.3594 eV/atom

A plane-wave DFT calculation with GGA-PBE was carried out for a geometry-optimized AlGa2Te structure.

Lattice parameters (Å, degrees): 7.4556 7.4556 7.4556 130.85 130.85 72.05
Last column: nearest neighbours and their distance in Å.
Element x y z (fractional)
Al (0.0000, 0.0000, 0.0000)  4 Ga 2.56
Al (0.7500, 0.2500, 0.5000)  4 Ga 2.56
Ga (0.0950, 0.6250, 0.9700)  2 Al 2.56, 2 Te 2.77
Ga (0.3750, 0.3450, 0.4700)  2 Al 2.56, 2 Te 2.77
Ga (0.6550, 0.1250, 0.0300)  2 Al 2.56, 2 Te 2.77
Ga (0.8750, 0.9050, 0.5300)  2 Al 2.56, 2 Te 2.77
Te (0.2500, 0.7500, 0.5000)  4 Ga 2.77
Te (0.5000, 0.5000, 0.0000)  4 Ga 2.77

Results
- Space-group type: I-42d
- Total moment: 0.000 μB per atom
- E_form (uncorrected): 0.0274 eV/atom
- Relative energy among the computed polymorphs: 0.000 eV/atom

A plane-wave DFT calculation with GGA-PBE was carried out for a geometry-optimized SmCdSnPt structure.

Lattice parameters (Å, degrees): 5.0164 5.0164 5.0164 60.00 60.00 60.00
Last column: nearest neighbours and their distance in Å.
Element x y z (fractional)
Sm (0.0000, 0.0000, 0.0000)  4 Cd 3.07, 4 Pt 3.07
Cd (0.7500, 0.7500, 0.7500)  4 Sn 3.07, 4 Sm 3.07
Sn (0.5000, 0.5000, 0.5000)  4 Cd 3.07, 4 Pt 3.07
Pt (0.2500, 0.2500, 0.2500)  4 Sn 3.07, 4 Sm 3.07

Results
- Space-group type: F-43m
- Total moment: 0.000 μB per atom
- Formation energy from the elements: -0.59 eV per atom